(1)
# Cd3Ag2Pd4

An optimized crystal structure of Cd3Ag2Pd4 (GGA-PBE, Alexandria via LeMat-Bulk).

Lattice parameters (Å, degrees): 4.158 4.957 8.686 75.00 89.95 65.46
Element x y z (fractional)
Cd  0.336  0.328  0.436
Cd  0.000  0.000  0.000
Cd  0.664  0.672  0.564
Ag  0.330  0.340  0.780
Ag  0.670  0.660  0.220
Pd  0.665  0.670  0.890
Pd  0.005  0.989  0.334
Pd  0.995  0.011  0.666
Pd  0.335  0.330  0.110

## Properties
The formation energy is -2.158 eV per formula unit. The volume comes out at 17.3 A^3/atom.


(2)
# HWNCl2

An optimized crystal structure of HWNCl2 (GGA-PBE, Alexandria via LeMat-Bulk).

Lattice parameters (Å, degrees): 4.861 3.836 4.861 90.00 90.00 90.00
Site moments in Bohr magnetons follow the coordinates.
Element x y z (fractional)
H  0.500  0.500  0.500  0.38
N  0.000  0.500  0.000  0.00
W  0.000  0.000  0.000  0.00
Cl  0.000  0.000  0.500  0.02
Cl  0.500  0.000  0.000  0.01

## Properties
The value obtained for the energy is -5.38 eV per atom. The volume comes out at 18.1 A^3/atom.